Entry 1:
Below is crystalline ThAl2Zn4Ag at its relaxed geometry, with properties calculated at the PBE level.

Cell: 9.2118 9.2118 9.2118 Å, 27.52 27.52 27.52°
Fractional coordinates of all 8 atoms:
Th  0.0000  0.0000  0.0000
Al  0.2476  0.2476  0.2476
Al  0.7524  0.7524  0.7524
Zn  0.1270  0.1270  0.1270
Zn  0.3988  0.3988  0.3988
Zn  0.6012  0.6012  0.6012
Zn  0.8730  0.8730  0.8730
Ag  0.5000  0.5000  0.5000

Properties
As for the calculated density: 7.390 Mg/m³. The density of states at the Fermi level comes out at 0.32 states/eV/atom. Its symmetry is R-3m, No. 166. As for the uncorrected energy: -3.000 eV/atom.

***

Entry 2:
Below is crystalline Ca2AgAs at its relaxed geometry, with properties calculated at the PBE level.

Cell: 7.4014 7.4014 7.4014 Å, 34.67 34.67 34.67°
Fractional coordinates of all 4 atoms:
Ca  0.2356  0.2356  0.2356
Ca  0.7644  0.7644  0.7644
Ag  0.0000  0.0000  0.0000
As  0.5000  0.5000  0.5000

Properties
As for the calculated density: 3.729 Mg/m³. The density of states at the Fermi level comes out at 0.06 states/eV/atom. Its symmetry is R-3m, No. 166. As for the uncorrected energy: -3.568 eV/atom.